Below is an optimized crystal structure of Sr2Sn3Rh2, with properties calculated at the GGA-PBE level.

Cell: 4.7120 7.4324 10.3138 Å, 90.00 103.20 90.00°
Closest atoms and distances in Å follow each position.
Sites, in units of the cell vectors:
Sr: 0.1640 0.2500 0.3279  6 Rh 3.12-3.32, 6 Sn 3.34
Sr: 0.8360 0.7500 0.6721  6 Rh 3.12-3.32, 6 Sn 3.34
Sr: 0.9501 0.2500 0.9002  9 Sn 3.30-3.66
Sr: 0.0499 0.7500 0.0998  9 Sn 3.30-3.66
Sn: 0.2180 0.7500 0.4360  6 Rh 2.77-2.81
Sn: 0.7820 0.2500 0.5640  6 Rh 2.77-2.81
Sn: 0.5700 0.4432 0.1399  1 Rh 2.73, 2 Sn 2.87-2.93
Sn: 0.4300 0.5568 0.8601  1 Rh 2.73, 2 Sn 2.87-2.93
Sn: 0.4300 0.9432 0.8601  1 Rh 2.73, 2 Sn 2.87-2.93
Sn: 0.5700 0.0568 0.1399  1 Rh 2.73, 2 Sn 2.87-2.93
Rh: 0.6999 0.9509 0.3998  4 Sn 2.73-2.81, 1 Rh 2.99
Rh: 0.3001 0.0491 0.6002  4 Sn 2.73-2.81, 1 Rh 2.99
Rh: 0.3001 0.4509 0.6002  4 Sn 2.73-2.81, 1 Rh 2.99
Rh: 0.6999 0.5491 0.3998  4 Sn 2.73-2.81, 1 Rh 2.99

Calculated values
DFT formation energy = -0.50 eV/atom
volume = 25.118 Å³ per atom
density of states at the Fermi level = 9.17 states/eV/cell
total moment = 0.0 μB/cell

---

Below is an optimized crystal structure of SrSnRh2, with properties calculated at the GGA-PBE level.

Cell: 3.3338 3.3338 7.2558 Å, 90.00 90.00 90.00°
Closest atoms and distances in Å follow each position.
Sites, in units of the cell vectors:
Sr: 0.5000 0.5000 0.5000  8 Rh 3.20, 4 Sr 3.33
Rh: 0.0000 0.0000 0.7984  4 Sn 2.77, 1 Rh 2.93
Rh: 0.0000 0.0000 0.2016  4 Sn 2.77, 1 Rh 2.93
Sn: 0.5000 0.5000 0.0000  8 Rh 2.77

Calculated values
DFT formation energy = -0.33 eV/atom
volume = 20.160 Å³ per atom
density of states at the Fermi level = 2.16 states/eV/cell
total moment = 0.0 μB/cell

---

Below is an optimized crystal structure of Sr2Sn3Rh4, with properties calculated at the GGA-PBE level.

Cell: 6.1892 7.5863 8.6793 Å, 90.00 110.89 90.00°
Closest atoms and distances in Å follow each position.
Sites, in units of the cell vectors:
Sr: 0.1018 0.5836 0.2037  5 Rh 3.01-3.35, 2 Sn 3.35
Sr: 0.8982 0.4164 0.7963  5 Rh 3.01-3.35, 2 Sn 3.35
Sr: 0.3982 0.0836 0.7963  5 Rh 3.01-3.35, 2 Sn 3.35
Sr: 0.6018 0.9164 0.2037  5 Rh 3.01-3.35, 2 Sn 3.35
Sn: 0.0000 0.0000 0.0000  6 Rh 2.69-2.85
Sn: 0.5000 0.5000 0.0000  6 Rh 2.69-2.85
Sn: 0.5178 0.7500 0.5357  5 Rh 2.65-2.78
Sn: 0.9822 0.2500 0.4643  5 Rh 2.65-2.78
Sn: 0.4822 0.2500 0.4643  5 Rh 2.65-2.78
Sn: 0.0178 0.7500 0.5357  5 Rh 2.65-2.78
Rh: 0.6811 0.7500 0.8623  3 Sn 2.65-2.69
Rh: 0.8189 0.2500 0.1377  3 Sn 2.65-2.69
Rh: 0.3189 0.2500 0.1377  3 Sn 2.65-2.69
Rh: 0.1811 0.7500 0.8623  3 Sn 2.65-2.69
Rh: 0.1753 0.9805 0.3505  5 Sn 2.72-2.85
Rh: 0.8247 0.0195 0.6495  5 Sn 2.72-2.85
Rh: 0.3247 0.4805 0.6495  5 Sn 2.72-2.85
Rh: 0.6753 0.5195 0.3505  5 Sn 2.72-2.85

Calculated values
DFT formation energy = -0.57 eV/atom
volume = 21.152 Å³ per atom
density of states at the Fermi level = 8.43 states/eV/cell
total moment = 0.0 μB/cell

---

Below is an optimized crystal structure of SrSnRh2, with properties calculated at the GGA-PBE level.

Cell: 4.2589 4.2589 10.2121 Å, 90.00 90.00 90.00°
Closest atoms and distances in Å follow each position.
Sites, in units of the cell vectors:
Sr: 0.5000 0.0000 0.1885  5 Rh 2.93-3.15
Sr: 0.0000 0.5000 0.8115  5 Rh 2.93-3.15
Sn: 0.5000 0.0000 0.6498  5 Rh 2.57-2.62
Sn: 0.0000 0.5000 0.3502  5 Rh 2.57-2.62
Rh: 0.5000 0.0000 0.9015  1 Sn 2.57
Rh: 0.0000 0.5000 0.0985  1 Sn 2.57
Rh: 0.0000 0.0000 0.5000  4 Sn 2.62
Rh: 0.5000 0.5000 0.5000  4 Sn 2.62

Calculated values
DFT formation energy = -0.24 eV/atom
volume = 23.153 Å³ per atom
density of states at the Fermi level = 5.65 states/eV/cell
total moment = 0.0 μB/cell

---

Below is an optimized crystal structure of Sr2Sn4Rh3, with properties calculated at the GGA-PBE level.

Cell: 5.9958 5.9958 7.4684 Å, 101.36 101.36 120.61°
Closest atoms and distances in Å follow each position.
Sites, in units of the cell vectors:
Sr: 0.6235 0.6235 0.2469  1 Sr 3.38, 6 Rh 3.42-3.44, 8 Sn 3.46-3.56
Sr: 0.3765 0.3765 0.7531  1 Sr 3.38, 6 Rh 3.42-3.44, 8 Sn 3.46-3.56
Sn: 0.0183 0.6791 0.6974  3 Rh 2.68-2.72
Sn: 0.6791 0.0183 0.6974  3 Rh 2.68-2.72
Sn: 0.9817 0.3209 0.3026  3 Rh 2.68-2.72
Sn: 0.3209 0.9817 0.3026  3 Rh 2.68-2.72
Rh: 0.5000 0.0000 0.0000  4 Sn 2.68, 4 Rh 2.97-3.00
Rh: 0.0000 0.0000 0.0000  4 Sn 2.72, 4 Rh 3.00
Rh: 0.0000 0.5000 0.0000  4 Sn 2.68, 4 Rh 2.97-3.00

Calculated values
DFT formation energy = -0.55 eV/atom
volume = 23.556 Å³ per atom
density of states at the Fermi level = 4.61 states/eV/cell
total moment = 0.0 μB/cell

---

Below is an optimized crystal structure of SrSnRh2, with properties calculated at the GGA-PBE level.

Cell: 6.7188 5.7625 10.4731 Å, 90.00 90.00 90.00°
Closest atoms and distances in Å follow each position.
Sites, in units of the cell vectors:
Sr: 0.0000 0.2500 0.6008  2 Sn 3.37, 2 Sr 3.57
Sr: 0.5000 0.7500 0.1713  2 Rh 2.94, 2 Sn 3.18
Sr: 0.0000 0.7500 0.3992  2 Sn 3.37, 2 Sr 3.57
Sr: 0.5000 0.2500 0.8287  2 Rh 2.94, 2 Sn 3.18
Sn: 0.5000 0.7500 0.7008  4 Rh 2.55-2.64
Sn: 0.5000 0.2500 0.2992  4 Rh 2.55-2.64
Sn: 0.0000 0.2500 0.2322  4 Rh 2.60-2.83
Sn: 0.0000 0.7500 0.7678  4 Rh 2.60-2.83
Rh: 0.0000 0.0000 0.0000  6 Rh 2.65-2.88, 2 Sn 2.83
Rh: 0.5000 0.5000 0.5000  2 Sn 2.55
Rh: 0.3062 0.7500 0.9197  2 Sn 2.60-2.64, 3 Rh 2.60-2.65
Rh: 0.6938 0.2500 0.0803  2 Sn 2.60-2.64, 3 Rh 2.60-2.65
Rh: 0.6938 0.7500 0.9197  2 Sn 2.60-2.64, 3 Rh 2.60-2.65
Rh: 0.3062 0.2500 0.0803  2 Sn 2.60-2.64, 3 Rh 2.60-2.65
Rh: 0.0000 0.5000 0.0000  6 Rh 2.65-2.88, 2 Sn 2.83
Rh: 0.5000 0.0000 0.5000  2 Sn 2.55

Calculated values
DFT formation energy = -0.05 eV/atom
volume = 25.343 Å³ per atom
density of states at the Fermi level = 17.52 states/eV/cell
total moment = 0.2 μB/cell

---

Below is an optimized crystal structure of Sr2Sn7Rh12, with properties calculated at the GGA-PBE level.

Cell: 4.2716 10.3909 10.3909 Å, 120.00 90.00 90.00°
Closest atoms and distances in Å follow each position.
Sites, in units of the cell vectors:
Sr: 0.5000 0.0000 0.0000  9 Rh 3.38-3.64, 6 Sn 3.42
Sr: 0.0000 0.6667 0.3333  6 Sn 3.41, 12 Rh 3.44-3.53
Sn: 0.0000 0.3333 0.6667  9 Rh 2.56-2.79
Sn: 0.0000 0.0773 0.7907  7 Rh 2.59-2.78
Sn: 0.0000 0.7134 0.9227  7 Rh 2.59-2.78
Sn: 0.0000 0.2093 0.2866  7 Rh 2.59-2.78
Sn: 0.5000 0.6376 0.5732  7 Rh 2.62-2.74
Sn: 0.5000 0.9356 0.3624  7 Rh 2.62-2.74
Sn: 0.5000 0.4268 0.0644  7 Rh 2.62-2.74
Rh: 0.5000 0.9126 0.6142  4 Sn 2.67-2.78, 5 Rh 2.91-2.94
Rh: 0.5000 0.7016 0.0874  4 Sn 2.67-2.78, 5 Rh 2.91-2.94
Rh: 0.5000 0.3858 0.2984  4 Sn 2.67-2.78, 5 Rh 2.91-2.94
Rh: 0.5000 0.2356 0.7682  5 Sn 2.70-2.79, 1 Rh 2.91
Rh: 0.5000 0.5325 0.7644  5 Sn 2.70-2.79, 1 Rh 2.91
Rh: 0.5000 0.2318 0.4675  5 Sn 2.70-2.79, 1 Rh 2.91
Rh: 0.0000 0.0488 0.5282  4 Sn 2.56-2.62
Rh: 0.0000 0.4794 0.9512  4 Sn 2.56-2.62
Rh: 0.0000 0.4718 0.5206  4 Sn 2.56-2.62
Rh: 0.0000 0.7951 0.7189  4 Sn 2.64-2.66, 3 Rh 2.93
Rh: 0.0000 0.9238 0.2049  4 Sn 2.64-2.66, 3 Rh 2.93
Rh: 0.0000 0.2811 0.0762  4 Sn 2.64-2.66, 3 Rh 2.93

Calculated values
DFT formation energy = -0.45 eV/atom
volume = 19.020 Å³ per atom
density of states at the Fermi level = 13.50 states/eV/cell
total moment = 0.0 μB/cell

---

Below is an optimized crystal structure of SrSn12Rh4, with properties calculated at the GGA-PBE level.

Cell: 8.2210 8.2210 8.2210 Å, 109.47 109.47 109.47°
Closest atoms and distances in Å follow each position.
Sites, in units of the cell vectors:
Sr: 0.0000 0.0000 0.0000  12 Sn 3.59
Sn: 0.8357 0.3403 0.1760  2 Rh 2.65
Sn: 0.3403 0.5046 0.1643  2 Rh 2.65
Sn: 0.8240 0.1643 0.6597  2 Rh 2.65
Sn: 0.3403 0.1760 0.8357  2 Rh 2.65
Sn: 0.1760 0.8357 0.3403  2 Rh 2.65
Sn: 0.6597 0.4954 0.8357  2 Rh 2.65
Sn: 0.5046 0.1643 0.3403  2 Rh 2.65
Sn: 0.4954 0.8357 0.6597  2 Rh 2.65
Sn: 0.6597 0.8240 0.1643  2 Rh 2.65
Sn: 0.8357 0.6597 0.4954  2 Rh 2.65
Sn: 0.1643 0.3403 0.5046  2 Rh 2.65
Sn: 0.1643 0.6597 0.8240  2 Rh 2.65
Rh: 0.0000 0.5000 0.0000  6 Sn 2.65
Rh: 0.5000 0.0000 0.0000  6 Sn 2.65
Rh: 0.5000 0.5000 0.5000  6 Sn 2.65
Rh: 0.0000 0.0000 0.5000  6 Sn 2.65

Calculated values
DFT formation energy = -0.30 eV/atom
volume = 25.159 Å³ per atom
density of states at the Fermi level = 16.75 states/eV/cell
total moment = 0.0 μB/cell

---

Below is an optimized crystal structure of Sr3Sn2Rh, with properties calculated at the GGA-PBE level.

Cell: 4.7600 12.8584 12.9609 Å, 90.00 90.00 90.00°
Closest atoms and distances in Å follow each position.
Sites, in units of the cell vectors:
Sr: 0.2500 0.3834 0.0644  1 Rh 3.20, 4 Sn 3.39-3.49
Sr: 0.7500 0.6166 0.9356  1 Rh 3.20, 4 Sn 3.39-3.49
Sr: 0.7500 0.8834 0.4356  1 Rh 3.20, 4 Sn 3.39-3.49
Sr: 0.2500 0.1166 0.5644  1 Rh 3.20, 4 Sn 3.39-3.49
Sr: 0.2500 0.7028 0.2103  4 Sn 3.28-3.45, 2 Rh 3.36
Sr: 0.7500 0.2972 0.7897  4 Sn 3.28-3.45, 2 Rh 3.36
Sr: 0.7500 0.2028 0.2897  4 Sn 3.28-3.45, 2 Rh 3.36
Sr: 0.2500 0.7972 0.7103  4 Sn 3.28-3.45, 2 Rh 3.36
Sr: 0.2500 0.4469 0.3917  3 Rh 3.14-3.45, 3 Sn 3.35-3.43
Sr: 0.7500 0.5531 0.6083  3 Rh 3.14-3.45, 3 Sn 3.35-3.43
Sr: 0.7500 0.9469 0.1083  3 Rh 3.14-3.45, 3 Sn 3.35-3.43
Sr: 0.2500 0.0531 0.8917  3 Rh 3.14-3.45, 3 Sn 3.35-3.43
Sn: 0.2500 0.6973 0.4636  2 Rh 2.70
Sn: 0.7500 0.3027 0.5364  2 Rh 2.70
Sn: 0.7500 0.1973 0.0364  2 Rh 2.70
Sn: 0.2500 0.8027 0.9636  2 Rh 2.70
Sn: 0.2500 0.0126 0.2868  1 Rh 2.74
Sn: 0.7500 0.9874 0.7132  1 Rh 2.74
Sn: 0.7500 0.5126 0.2132  1 Rh 2.74
Sn: 0.2500 0.4874 0.7868  1 Rh 2.74
Rh: 0.2500 0.1407 0.1179  3 Sn 2.70-2.74
Rh: 0.7500 0.8593 0.8821  3 Sn 2.70-2.74
Rh: 0.7500 0.6407 0.3821  3 Sn 2.70-2.74
Rh: 0.2500 0.3593 0.6179  3 Sn 2.70-2.74

Calculated values
DFT formation energy = -0.58 eV/atom
volume = 33.054 Å³ per atom
density of states at the Fermi level = 14.47 states/eV/cell
total moment = 0.0 μB/cell